(1)
Below is a relaxed Tl2CdRhI crystal, with properties calculated at the PBE-GGA level.

Cell lengths 5.370, 5.370, 5.311 Å; angles 90.00, 90.00, 90.00 degrees
Space group P4/mmm (No. 123)
One atom of each set of equivalent atoms:
Tl  0.000  0.500  0.000 [2 per cell]
Cd  0.000  0.000  0.500 [1 per cell]
Rh  0.000  0.000  0.000 [1 per cell]
I  0.500  0.500  0.500 [1 per cell]

Computed properties:
Total DFT energy (no corrections)   -3.07 eV/atom
Crystal system   tetragonal
Size of the total moment   0.00 Bohr magnetons per cell
E_form (uncorrected)   -0.165 eV/atom

(2)
Below is a relaxed MgAlS2 crystal, with properties calculated at the PBE-GGA level.

Cell lengths 4.1982, 4.1982, 5.8707 Å; angles 90.00, 90.00, 120.00 degrees
Space group P3m1 (No. 156)
One atom of each set of equivalent atoms:
Mg  0.0000  0.0000  0.0000 [1 per cell]
Al  0.3333  0.6667  0.4909 [1 per cell]
S  0.0000  0.0000  0.4250 [1 per cell]
S  0.3333  0.6667  0.8967 [1 per cell]

Computed properties:
Total DFT energy (no corrections)   -4.27 eV/atom
Crystal system   trigonal
Size of the total moment   0.00 Bohr magnetons per cell
E_form (uncorrected)   -0.873 eV/atom

(3)
Below is a relaxed CoIrPt2 crystal, with properties calculated at the PBE-GGA level.

Cell lengths 2.730, 3.795, 5.548 Å; angles 90.00, 90.00, 90.00 degrees
Space group Pmm2 (No. 25)
One atom of each set of equivalent atoms:
Co  0.000  0.000  0.000 [1 per cell]
Ir  0.500  0.500  0.226 [1 per cell]
Pt  0.000  0.000  0.480 [1 per cell]
Pt  0.500  0.500  0.751 [1 per cell]

Computed properties:
Total DFT energy (no corrections)   -6.99 eV/atom
Energy relative to the elements   0.017 eV per atom
Crystal system   orthorhombic
Size of the total moment   2.28 Bohr magnetons per cell
Energy above the lowest structure with this stoichiometry   0.0401 eV per atom

(4)
Below is a relaxed La3PrAl2 crystal, with properties calculated at the PBE-GGA level.

Cell lengths 5.354, 9.986, 6.848 Å; angles 90.00, 90.00, 90.00 degrees
Space group Pmc2_1 (No. 26)
One atom of each set of equivalent atoms:
La  0.000  0.053  0.000 [2 per cell]
La  0.000  0.329  0.323 [2 per cell]
La  0.500  0.170  0.716 [2 per cell]
Pr  0.500  0.448  0.034 [2 per cell]
Al  0.000  0.352  0.807 [2 per cell]
Al  0.500  0.150  0.231 [2 per cell]

Computed properties:
Total DFT energy (no corrections)   -4.76 eV/atom
Energy relative to the elements   -0.256 eV per atom
Crystal system   orthorhombic
Size of the total moment   0.00 Bohr magnetons per cell
Energy above the lowest structure with this stoichiometry   0.0000 eV per atom

(5)
Below is a relaxed Na3Ca2Br7 crystal, with properties calculated at the PBE-GGA level.

Cell lengths 25.819, 7.438, 7.835 Å; angles 90.00, 90.00, 90.00 degrees
Space group Cmc2_1 (No. 36)
One atom of each set of equivalent atoms:
Na  0.000  0.245  0.000 [4 per cell]
Na  0.194  0.247  0.843 [8 per cell]
Ca  0.106  0.247  0.431 [8 per cell]
Br  0.000  0.381  0.363 [4 per cell]
Br  0.076  0.082  0.756 [8 per cell]
Br  0.137  0.435  0.123 [8 per cell]
Br  0.208  0.114  0.489 [8 per cell]

Computed properties:
Total DFT energy (no corrections)   -3.42 eV/atom
Crystal system   orthorhombic
Size of the total moment   0.00 Bohr magnetons per cell
E_form (uncorrected)   -1.779 eV/atom

(6)
Below is a relaxed FeP2Ir crystal, with properties calculated at the PBE-GGA level.

Cell lengths 3.251, 3.251, 4.869 Å; angles 90.00, 90.00, 90.00 degrees
Space group P4mm (No. 99)
One atom of each set of equivalent atoms:
Fe  0.000  0.000  0.000 [1 per cell]
P  0.000  0.000  0.524 [1 per cell]
P  0.500  0.500  0.874 [1 per cell]
Ir  0.500  0.500  0.372 [1 per cell]

Computed properties:
Total DFT energy (no corrections)   -7.27 eV/atom
Energy relative to the elements   -0.230 eV per atom
Crystal system   tetragonal
Size of the total moment   0.87 Bohr magnetons per cell
Energy above the lowest structure with this stoichiometry   0.1415 eV per atom

(7)
Below is a relaxed Dy3YIn4Te8 crystal, with properties calculated at the PBE-GGA level.

Cell lengths 8.8245, 8.8245, 24.3222 Å; angles 90.00, 90.00, 120.00 degrees
Space group R-3m (No. 166, hexagonal axes)
One atom of each set of equivalent atoms:
Dy  0.0000  0.5000  0.0000 [9 per cell]
Y  0.0000  0.0000  0.0000 [3 per cell]
In  0.0000  0.0000  0.5000 [3 per cell]
In  0.0000  0.5000  0.5000 [9 per cell]
Te  0.0000  0.0000  0.2603 [6 per cell]
Te  0.0004  0.5002  0.2602 [18 per cell]

Computed properties:
Total DFT energy (no corrections)   -4.50 eV/atom
Crystal system   trigonal
Size of the total moment   0.00 Bohr magnetons per cell
E_form (uncorrected)   -0.974 eV/atom

(8)
Below is a relaxed YP3C crystal, with properties calculated at the PBE-GGA level.

Cell lengths 5.231, 5.231, 5.231 Å; angles 90.00, 90.00, 90.00 degrees
Space group Pm-3m (No. 221)
One atom of each set of equivalent atoms:
Y  0.000  0.000  0.000 [1 per cell]
P  0.000  0.000  0.500 [3 per cell]
C  0.500  0.500  0.500 [1 per cell]

Computed properties:
Total DFT energy (no corrections)   -4.19 eV/atom
Energy relative to the elements   2.192 eV per atom
Crystal system   cubic
Size of the total moment   0.00 Bohr magnetons per cell
Energy above the lowest structure with this stoichiometry   1.7817 eV per atom

(9)
Below is a relaxed CsSiHgRu2 crystal, with properties calculated at the PBE-GGA level.

Cell lengths 5.189, 5.189, 6.238 Å; angles 90.00, 90.00, 90.00 degrees
Space group P4/mmm (No. 123)
One atom of each set of equivalent atoms:
Cs  0.000  0.000  0.000 [1 per cell]
Si  0.500  0.500  0.000 [1 per cell]
Hg  0.000  0.000  0.500 [1 per cell]
Ru  0.000  0.500  0.500 [2 per cell]

Computed properties:
Total DFT energy (no corrections)   -2.95 eV/atom
Crystal system   tetragonal
Size of the total moment   2.76 Bohr magnetons per cell
E_form (uncorrected)   2.080 eV/atom

(10)
Below is a relaxed BaErF5 crystal, with properties calculated at the PBE-GGA level.

Cell lengths 4.446, 16.286, 5.920 Å; angles 90.00, 92.76, 90.00 degrees
Space group C2/c (No. 15)
One atom of each set of equivalent atoms:
Ba  0.000  0.172  0.250 [4 per cell]
Er  0.000  0.427  0.250 [4 per cell]
F  0.000  0.115  0.750 [4 per cell]
F  0.012  0.318  0.014 [8 per cell]
F  0.223  0.466  0.593 [8 per cell]

Computed properties:
Total DFT energy (no corrections)   -6.33 eV/atom
Crystal system   monoclinic
Size of the total moment   0.00 Bohr magnetons per cell
E_form (uncorrected)   -4.067 eV/atom

(11)
Below is a relaxed ZrSb2Br crystal, with properties calculated at the PBE-GGA level.

Cell lengths 4.331, 4.331, 22.806 Å; angles 90.00, 90.00, 90.00 degrees
Space group I-42d (No. 122)
One atom of each set of equivalent atoms:
Zr  0.000  0.000  0.000 [4 per cell]
Sb  0.215  0.250  0.125 [8 per cell]
Br  0.000  0.000  0.500 [4 per cell]

Computed properties:
Total DFT energy (no corrections)   -4.64 eV/atom
Crystal system   tetragonal
Size of the total moment   0.00 Bohr magnetons per cell
E_form (uncorrected)   -0.019 eV/atom
Energy above the lowest structure with this stoichiometry   0.4963 eV per atom

(12)
Below is a relaxed K2Pu3AsO12 crystal, with properties calculated at the PBE-GGA level.

Cell lengths 7.7699, 7.7699, 17.8000 Å; angles 90.00, 90.00, 120.00 degrees
Space group R-3m (No. 166, hexagonal axes)
One atom of each set of equivalent atoms:
K  0.0000  0.0000  0.1432 [6 per cell]
Pu  0.0000  0.5000  0.0000 [9 per cell]
As  0.0000  0.0000  0.5000 [3 per cell]
O  0.0808  0.5404  0.3635 [18 per cell]
O  0.1022  0.5511  0.1090 [18 per cell]

Computed properties:
Total DFT energy (no corrections)   -8.28 eV/atom
Crystal system   trigonal
Size of the total moment   21.00 Bohr magnetons per cell
E_form (uncorrected)   -2.206 eV/atom